14
Lattice="4.433 0.000 0.668 2.185 5.811 0.546 0.095 0.058 14.420" Properties=species:S:1:pos:R:3 comment="Sr3GaCu3 | the Alexandria database | PBE | relaxed" total_magnetization_mub_per_fu=0.00 volume_a3_per_cell=371.1 dft_energy_ev_per_atom=-3.068 formation_energy_mev_per_atom=-159 pbc="T T T"
Sr 3.122 1.959 9.374
Sr 3.591 3.910 6.259
Sr 1.718 1.522 3.643
Sr 4.994 4.347 11.990
Sr 2.466 1.720 13.726
Sr 4.246 4.149 1.907
Ga 3.592 0.554 6.251
Ga 3.120 5.315 9.382
Cu 5.478 4.780 8.778
Cu 1.234 1.089 6.855
Cu 2.447 5.287 13.850
Cu 4.265 0.582 1.783
Cu 6.125 5.090 4.487
Cu 0.588 0.779 11.146

---

4
Lattice="4.264 0.000 0.000 0.000 4.264 0.000 0.000 0.000 6.764" Properties=species:S:1:pos:R:3 comment="ThInBi2 | the Alexandria database | PBE | relaxed" total_magnetization_mub_per_fu=0.00 volume_a3_per_cell=123.0 dft_energy_ev_per_atom=-4.834 formation_energy_mev_per_atom=-354 polymorph_energy_ev_per_fu=0.01 pbc="T T T"
Bi 0.000 0.000 5.139
Bi 0.000 0.000 1.625
Th 2.132 2.132 0.000
In 2.132 2.132 3.382

---

12
Lattice="6.172 -0.003 0.023 -3.087 5.344 0.023 -1.079 -1.867 11.506" Properties=species:S:1:pos:R:3 comment="Pr3Ho6Er2Mg | the Alexandria database | PBE | relaxed" total_magnetization_mub_per_fu=0.00 volume_a3_per_cell=380.0 dft_energy_ev_per_atom=-4.339 formation_energy_mev_per_atom=38 pbc="T T T"
Pr -2.095 3.526 5.776
Pr 4.101 -0.052 5.776
Pr 1.003 1.737 5.776
Ho 3.049 1.722 8.745
Ho 2.042 3.536 2.837
Ho -1.042 1.751 2.808
Ho -0.032 3.501 8.745
Ho -0.036 -0.062 8.716
Ho 2.038 -0.028 2.808
Er 0.002 3.560 0.023
Er 3.083 1.781 0.023
Mg 0.000 0.000 0.000

---

5
Lattice="-4.738 2.617 2.233 -2.844 -5.118 -0.036 1.936 -1.114 5.412" Properties=species:S:1:pos:R:3 comment="GaSnPb3 | the Alexandria database | PBE | relaxed" total_magnetization_mub_per_fu=0.00 volume_a3_per_cell=200.7 dft_energy_ev_per_atom=-3.026 formation_energy_mev_per_atom=605 polymorph_energy_ev_per_fu=2.70 pbc="T T T"
Pb -1.422 -2.559 -0.018
Pb 0.968 -0.557 2.706
Pb -2.369 1.309 1.117
Sn 0.000 0.000 0.000
Ga -2.823 -1.807 3.805

---

12
Lattice="-1.668 5.220 -2.943 -4.737 -4.027 0.177 1.659 1.415 5.826" Properties=species:S:1:pos:R:3 comment="CePaAg2O8 | the Alexandria database | PBE | relaxed" total_magnetization_mub_per_fu=0.00 volume_a3_per_cell=185.2 dft_energy_ev_per_atom=-6.662 raw_formation_energy_mev_per_atom=-1595 pbc="T T T"
Ce -3.141 -1.008 2.310
Pa 0.000 0.000 0.000
Ag -1.606 3.616 0.750
Ag -3.203 0.596 -1.383
O -0.141 2.101 0.842
O -2.263 -0.142 0.320
O 0.485 2.197 4.021
O -0.144 4.585 1.921
O -4.688 2.047 -1.514
O -2.493 4.377 -1.006
O -3.646 3.399 1.241
O -3.026 1.114 3.292

---

4
Lattice="0.000 3.625 3.625 3.625 0.000 3.625 3.625 3.625 0.000" Properties=species:S:1:pos:R:3 comment="TaAgBi2 | the Alexandria database | PBE | relaxed" total_magnetization_mub_per_fu=0.72 volume_a3_per_cell=95.2 dft_energy_ev_per_atom=-4.996 formation_energy_mev_per_atom=620 pbc="T T T"
Bi 1.812 1.812 1.812
Bi 5.437 5.437 5.437
Ag 0.000 0.000 0.000
Ta 3.625 3.625 3.625

---

10
Lattice="3.973 0.000 0.907 1.672 6.691 1.829 0.003 0.024 9.136" Properties=species:S:1:pos:R:3 comment="Er5TeSe4 | the Alexandria database | PBE | relaxed" total_magnetization_mub_per_fu=0.00 volume_a3_per_cell=242.7 dft_energy_ev_per_atom=-5.579 raw_formation_energy_mev_per_atom=-1590 polymorph_energy_ev_per_fu=0.04 pbc="T T T"
Er 2.336 6.020 8.073
Er 3.312 0.695 3.800
Er 2.095 2.264 9.126
Er 0.838 3.358 5.483
Er 3.552 4.451 2.747
Te 0.000 0.000 0.000
Se 2.701 1.391 6.474
Se 1.455 2.576 2.781
Se 4.193 4.140 9.092
Se 2.947 5.324 5.398

---

19
Lattice="7.728 0.000 0.000 -3.864 9.261 4.497 0.000 1.141 10.058" Properties=species:S:1:pos:R:3 comment="La12Sm5Y2 | the Alexandria database | PBE | relaxed" total_magnetization_mub_per_fu=0.00 volume_a3_per_cell=680.2 dft_energy_ev_per_atom=-4.881 formation_energy_mev_per_atom=154 polymorph_energy_ev_per_fu=1.21 pbc="T T T"
La 0.000 0.277 2.062
La -2.069 7.183 11.443
La 2.069 7.183 11.443
La -1.944 6.876 7.808
La 1.944 6.876 7.808
La 0.000 9.771 11.134
La 3.864 0.630 3.421
La 5.809 3.526 6.747
La 1.920 3.526 6.747
La 5.933 3.218 3.112
La 1.795 3.218 3.112
La 3.864 10.124 12.493
Sm 0.000 4.182 9.794
Sm 0.000 6.109 4.561
Sm 0.000 0.570 5.029
Sm 3.864 4.292 9.994
Sm 3.864 6.219 4.761
Y 5.394 0.000 0.000
Y 2.334 0.000 0.000

---

5
Lattice="4.976 0.000 0.000 0.000 4.976 0.000 0.000 0.000 4.976" Properties=species:S:1:pos:R:3 comment="BiBTe3 | the Alexandria database | PBE | relaxed" total_magnetization_mub_per_fu=0.00 volume_a3_per_cell=123.2 dft_energy_ev_per_atom=-3.441 raw_formation_energy_mev_per_atom=556 polymorph_energy_ev_per_fu=0.00 pbc="T T T"
B 0.000 0.000 0.000
Te 0.000 2.488 0.000
Te 0.000 0.000 2.488
Te 2.488 0.000 0.000
Bi 2.488 2.488 2.488

---

4
Lattice="-0.142 -3.106 -1.957 -0.114 -3.248 1.714 -11.862 -1.648 0.029" Properties=species:S:1:pos:R:3 comment="AcDy2Ho | the Alexandria database | PBE | relaxed" total_magnetization_mub_per_fu=0.00 volume_a3_per_cell=137.8 dft_energy_ev_per_atom=-4.406 formation_energy_mev_per_atom=67 polymorph_energy_ev_per_fu=0.03 pbc="T T T"
Ac -6.044 -4.002 -0.107
Dy -9.066 -1.760 0.003
Dy -2.884 -2.006 -0.055
Ho -0.182 -4.236 -0.162

---

4
Lattice="-2.710 -0.040 -2.647 -1.366 -3.222 1.447 -4.281 3.755 4.324" Properties=species:S:1:pos:R:3 comment="La2TlW | the Alexandria database | PBE | relaxed" total_magnetization_mub_per_fu=0.00 volume_a3_per_cell=102.6 dft_energy_ev_per_atom=-5.797 formation_energy_mev_per_atom=497 polymorph_energy_ev_per_fu=0.86 pbc="T T T"
La -4.166 3.655 4.209
La -3.197 -0.615 0.570
Tl -2.284 2.004 2.307
W -5.130 1.081 2.523

---

10
Lattice="-4.160 0.685 -4.010 -2.518 -0.093 2.597 4.449 16.196 2.374" Properties=species:S:1:pos:R:3 comment="La2Nd2Tm | the Alexandria database | PBE | relaxed" total_magnetization_mub_per_fu=0.00 volume_a3_per_cell=349.8 dft_energy_ev_per_atom=-4.646 formation_energy_mev_per_atom=127 polymorph_energy_ev_per_fu=0.02 pbc="T T T"
La -2.617 1.692 -1.217
La -0.479 14.796 -1.195
La 0.388 15.096 2.178
La -1.750 1.992 2.156
Nd -3.461 7.813 0.705
Nd 1.232 8.975 0.256
Nd 1.446 12.148 0.577
Nd -3.675 4.640 0.384
Tm -1.988 11.037 -0.272
Tm -0.241 5.751 1.233

---

5
Lattice="3.541 0.000 0.000 0.000 3.541 0.000 1.771 1.771 7.240" Properties=species:S:1:pos:R:3 comment="Zr2P2Se | the Alexandria database | PBE | relaxed" total_magnetization_mub_per_fu=0.00 volume_a3_per_cell=90.8 dft_energy_ev_per_atom=-7.136 raw_formation_energy_mev_per_atom=-856 polymorph_energy_ev_per_fu=1.18 pbc="T T T"
P 3.541 1.771 3.620
P 1.771 3.541 3.620
Se 0.000 0.000 0.000
Zr 1.771 1.771 1.650
Zr 3.541 3.541 5.590

---

12
Lattice="4.356 0.000 0.000 0.000 9.148 0.047 0.000 -2.366 9.452" Properties=species:S:1:pos:R:3 comment="SrTbCuTe3 | the Alexandria database | PBE | relaxed" total_magnetization_mub_per_fu=0.00 volume_a3_per_cell=377.1 dft_energy_ev_per_atom=-4.503 raw_formation_energy_mev_per_atom=-1197 pbc="T T T"
Sr 1.089 1.117 2.335
Sr 3.267 5.666 7.164
Tb 1.089 5.784 1.585
Tb 3.267 0.999 7.914
Cu 1.089 -0.671 5.475
Cu 3.267 7.454 4.024
Te 3.267 7.937 1.337
Te 1.089 -1.154 8.162
Te 1.089 5.950 4.615
Te 3.267 0.833 4.884
Te 3.267 3.586 1.604
Te 1.089 3.197 7.895

---

4
Lattice="3.761 0.000 0.000 0.000 4.139 0.000 0.000 0.000 4.139" Properties=species:S:1:pos:R:3 comment="DyNi2Au | the Alexandria database | PBE | relaxed" total_magnetization_mub_per_fu=0.00 volume_a3_per_cell=64.4 dft_energy_ev_per_atom=-5.259 formation_energy_mev_per_atom=-399 pbc="T T T"
Ni 0.000 0.000 2.069
Ni 0.000 2.069 0.000
Au 1.880 0.000 0.000
Dy 1.880 2.069 2.069

---

4
Lattice="3.078 0.000 0.000 0.000 3.101 -0.007 0.000 3.114 6.615" Properties=species:S:1:pos:R:3 comment="Mn2HgRu | the Alexandria database | PBE | relaxed" total_magnetization_mub_per_fu=7.39 volume_a3_per_cell=63.2 dft_energy_ev_per_atom=-6.747 formation_energy_mev_per_atom=233 pbc="T T T"
Hg 1.539 4.661 4.956
Mn 0.000 3.101 0.200
Mn 0.000 3.107 3.096
Ru 1.539 1.554 1.652

---

12
Lattice="-3.377 5.109 4.051 -4.600 1.120 -5.100 -5.582 -6.540 3.595" Properties=species:S:1:pos:R:3 comment="PrTlPb2Br8 | the Alexandria database | PBE | relaxed" total_magnetization_mub_per_fu=0.00 volume_a3_per_cell=476.2 dft_energy_ev_per_atom=-3.539 raw_formation_energy_mev_per_atom=-1210 pbc="T T T"
Pr 0.000 0.000 0.000
Tl -2.791 -3.270 1.798
Pb -8.152 -1.764 2.157
Pb -5.407 1.453 0.388
Br -5.260 0.188 -2.408
Br -11.319 -2.259 2.477
Br -5.217 3.109 2.969
Br -8.299 -0.500 4.953
Br -2.240 1.948 0.068
Br -8.342 -3.420 -0.423
Br -8.296 0.790 0.639
Br -5.263 -1.102 1.906

---

11
Lattice="-3.681 -2.281 -2.536 3.128 -7.048 1.797 -3.916 2.961 7.986" Properties=species:S:1:pos:R:3 comment="La2DyTm8 | the Alexandria database | PBE | relaxed" total_magnetization_mub_per_fu=0.00 volume_a3_per_cell=346.3 dft_energy_ev_per_atom=-4.529 formation_energy_mev_per_atom=37 polymorph_energy_ev_per_fu=0.00 pbc="T T T"
La -3.845 -2.705 3.048
La -0.624 -3.663 4.200
Dy -1.841 -1.140 -1.268
Tm -3.028 -2.356 6.513
Tm -1.081 -6.873 2.784
Tm -3.470 -5.624 5.129
Tm -6.246 -1.397 5.357
Tm -0.998 -0.744 2.118
Tm -3.388 0.505 4.464
Tm -1.441 -4.012 0.734
Tm 1.777 -4.971 1.890

---

10
Lattice="-0.051 -1.033 -3.951 2.311 -3.265 0.824 -8.342 -5.514 1.549" Properties=species:S:1:pos:R:3 comment="Sm2AlGa3Ni4 | the Alexandria database | PBE | relaxed" total_magnetization_mub_per_fu=0.00 volume_a3_per_cell=168.8 dft_energy_ev_per_atom=-5.111 formation_energy_mev_per_atom=-572 pbc="T T T"
Sm -2.087 -1.879 -1.593
Sm -5.125 -5.784 1.578
Al -3.041 -4.906 -0.789
Ga -4.171 -2.757 0.774
Ga -7.318 -5.337 -0.622
Ga 0.105 -2.327 0.607
Ni 1.130 -2.149 -1.564
Ni 0.000 0.000 0.000
Ni -5.318 -4.015 -0.993
Ni -1.894 -3.648 0.978

---

9
Lattice="-2.011 3.660 -2.867 -2.322 -6.353 -2.006 -4.356 1.894 5.474" Properties=species:S:1:pos:R:3 comment="Sm5Sb2N2 | the Alexandria database | PBE | relaxed" total_magnetization_mub_per_fu=0.00 volume_a3_per_cell=232.8 dft_energy_ev_per_atom=-6.422 raw_formation_energy_mev_per_atom=-1034 pbc="T T T"
Sm -2.573 -2.880 -1.872
Sm -6.117 2.082 2.473
Sm -3.548 -0.314 2.088
Sm -5.141 -0.484 -1.488
Sm 0.000 0.000 0.000
Sb -5.745 -2.390 0.979
Sb -2.944 1.592 -0.378
N -4.957 0.221 3.759
N -3.732 -1.019 -3.158

---

4
Lattice="-1.978 2.284 4.321 -5.017 1.621 0.063 -3.558 -2.552 2.937" Properties=species:S:1:pos:R:3 comment="GaSnHgPb | the Alexandria database | PBE | relaxed" total_magnetization_mub_per_fu=0.00 volume_a3_per_cell=103.7 dft_energy_ev_per_atom=-2.682 formation_energy_mev_per_atom=78 polymorph_energy_ev_per_fu=0.14 pbc="T T T"
Pb -7.915 1.014 5.491
Hg 0.000 0.000 0.000
Ga -5.277 0.676 3.661
Sn -2.638 0.338 1.830

---

16
Lattice="12.023 0.000 0.000 0.000 12.023 0.000 0.000 0.000 4.701" Properties=species:S:1:pos:R:3 comment="SrPb | the Alexandria database | PBE | relaxed" total_magnetization_mub_per_fu=0.00 volume_a3_per_cell=679.5 dft_energy_ev_per_atom=-3.055 formation_energy_mev_per_atom=-360 pbc="T T T"
Sr 8.569 0.000 0.000
Sr 3.454 0.000 0.000
Sr 0.000 3.454 0.000
Sr 0.000 8.569 0.000
Sr 2.557 6.012 2.350
Sr 9.466 6.012 2.350
Sr 6.012 9.466 2.350
Sr 6.012 2.557 2.350
Pb 8.276 8.276 0.000
Pb 8.276 3.748 0.000
Pb 3.748 8.276 0.000
Pb 3.748 3.748 0.000
Pb 2.264 2.264 2.350
Pb 2.264 9.759 2.350
Pb 9.759 2.264 2.350
Pb 9.759 9.759 2.350

---

10
Lattice="-0.689 3.031 -4.004 -4.974 0.147 0.966 1.726 10.108 7.353" Properties=species:S:1:pos:R:3 comment="Ba2PmAg3Bi4 | the Alexandria database | PBE | relaxed" total_magnetization_mub_per_fu=0.00 volume_a3_per_cell=324.2 dft_energy_ev_per_atom=-3.781 formation_energy_mev_per_atom=-514 pbc="T T T"
Ba 0.044 3.787 -0.350
Ba -1.149 7.910 6.184
Pm -1.968 6.643 2.157
Ag 0.863 5.054 3.677
Ag 1.166 10.359 4.431
Ag -2.271 1.338 1.403
Bi -2.831 1.589 -1.519
Bi 0.000 0.000 0.000
Bi 0.771 8.045 2.748
Bi -1.876 3.652 3.086

---

4
Lattice="-2.022 2.407 -1.035 -2.513 -1.411 1.627 1.189 2.850 4.308" Properties=species:S:1:pos:R:3 comment="AlZn2Cu | the Alexandria database | PBE | relaxed" total_magnetization_mub_per_fu=0.00 volume_a3_per_cell=58.1 dft_energy_ev_per_atom=-2.624 formation_energy_mev_per_atom=-28 pbc="T T T"
Zn 1.187 2.846 4.303
Zn -1.977 1.194 1.348
Al 0.609 1.461 2.209
Cu -1.382 2.620 3.503